Compound: ScTaCl2
Source: Alexandria
Functional: PBE
Structure: relaxed

Cell lengths 4.6648, 4.6648, 3.1122 Å; angles 90.00, 90.00, 90.00 degrees
With the nearest neighbours (Å) after each atom.
Space group P4/mmm (No. 123)
Unique sites:
Sc: 0.0000 0.0000 0.0000  8 Cl 2.80, 2 Sc 3.11
Ta: 0.5000 0.5000 0.0000  8 Cl 2.80, 2 Ta 3.11
Cl: 0.0000 0.5000 0.5000  4 Ta 2.80, 4 Sc 2.80, 2 Cl 3.11

Output
Magnetization, μB/f.u.: 0.00
Formation energy (no corrections), kJ per mole of atoms: 3.81
Total energy, eV/atom: -5.43


Compound: ScTaCl2
Source: Alexandria
Functional: PBE
Structure: relaxed

Cell lengths 4.3402, 4.3402, 7.2441 Å; angles 90.00, 90.00, 90.00 degrees
With the nearest neighbours (Å) after each atom.
Space group I4/mmm (No. 139)
Unique sites:
Sc: 0.0000 0.0000 0.0000  8 Cl 2.83, 4 Ta 3.07
Ta: 0.0000 0.0000 0.5000  8 Cl 2.83, 4 Sc 3.07
Cl: 0.0000 0.5000 0.2500  4 Ta 2.83, 4 Sc 2.83, 4 Cl 3.07

Output
Magnetization, μB/f.u.: 0.00
Formation energy (no corrections), kJ per mole of atoms: 9.69
Total energy, eV/atom: -5.37